Material: Ca2TaHgBi
Method: DFT, GGA-PBE
State: optimized geometry

POSCAR file:
```
Ca2TaHgBi
1.0
5.6315 0.0000 0.0000
0.0000 5.6315 0.0000
0.0000 0.0000 5.6547
Ca Ta Hg Bi
2 1 1 1
Direct
0.0000 0.5000 0.0000
0.5000 0.0000 0.0000
0.0000 0.0000 0.5000
0.5000 0.5000 0.0000
0.5000 0.5000 0.5000
```

Calculated values
VASP energy: -3.043 eV per atom
N(E_F): 3.40 states/eV/f.u.
Mass density: 6.2 Mg/m³
ΔH_f (0 K): 93 kJ/mol of atoms